No. 1
This record from Alexandria via LeMat-Bulk describes crystalline BaLaCl5 at its relaxed geometry. The functional is PBE.

Its calculated volume is 1076.9 Å³/cell. Its formation energy (no corrections) is -2.411 eV per atom. As for the polymorph energy (0 for the lowest one): 48.0 meV per atom.

Unit cell a=7.546 b=14.239 c=10.618 alpha=90.00 beta=109.27 gamma=90.00
Space group P2_1/c (No. 14)
One atom of each set of equivalent atoms:
Ba1 0.035 0.020 0.256 (multiplicity 4)
La1 0.394 0.243 0.601 (multiplicity 4)
Cl1 0.083 0.118 0.550 (multiplicity 4)
Cl2 0.144 0.106 0.999 (multiplicity 4)
Cl3 0.294 0.653 0.369 (multiplicity 4)
Cl4 0.350 0.183 0.338 (multiplicity 4)
Cl5 0.397 0.591 0.786 (multiplicity 4)

---

No. 2
This record from Alexandria via LeMat-Bulk describes crystalline RhBr2 at its relaxed geometry. The functional is PBE.

Its calculated volume is 357.9 Å³/cell. Its formation energy (no corrections) is -0.154 eV per atom.

Unit cell a=13.750 b=3.630 c=7.650 alpha=90.00 beta=110.37 gamma=90.00
Space group C2/m (No. 12)
One atom of each set of equivalent atoms:
Rh1 0.015 0.000 0.185 (multiplicity 4)
Br1 0.107 0.500 0.819 (multiplicity 4)
Br2 0.144 0.500 0.278 (multiplicity 4)

---

No. 3
This record from Alexandria via LeMat-Bulk describes crystalline Ac3Ho2In3 at its relaxed geometry. The functional is PBE.

For the calculated total energy, the calculation gives -32.1 eV/f.u. Its calculated volume is 541.5 Å³/cell.

Unit cell a=4.007 b=5.747 c=23.509 alpha=90.00 beta=90.00 gamma=90.00
Space group Immm (No. 71)
One atom of each set of equivalent atoms:
Ac1 0.000 0.000 0.000 (multiplicity 2)
Ac2 0.000 0.500 0.124 (multiplicity 4)
Ho1 0.000 0.000 0.236 (multiplicity 4)
In1 0.000 0.000 0.500 (multiplicity 2)
In2 0.000 0.500 0.370 (multiplicity 4)

---

No. 4
This record from Alexandria via LeMat-Bulk describes crystalline Hg3TeI9 at its relaxed geometry. The functional is PBE.

Its calculated volume is 2851.1 Å³/cell. Its formation energy (no corrections) is -0.180 eV per atom.

Unit cell a=20.329 b=11.259 c=15.112 alpha=90.00 beta=124.48 gamma=90.00
Space group Cc (No. 9)
One atom of each set of equivalent atoms:
Hg1 0.000 0.061 0.000 (multiplicity 4)
Hg2 0.363 0.370 0.658 (multiplicity 4)
Hg3 0.411 0.068 0.486 (multiplicity 4)
Te1 0.206 0.268 0.803 (multiplicity 4)
I1 0.012 0.069 0.337 (multiplicity 4)
I2 0.073 0.416 0.729 (multiplicity 4)
I3 0.153 0.025 0.177 (multiplicity 4)
I4 0.211 0.186 0.980 (multiplicity 4)
I5 0.212 0.396 0.615 (multiplicity 4)
I6 0.349 0.463 0.464 (multiplicity 4)
I7 0.374 0.105 0.631 (multiplicity 4)
I8 0.375 0.162 0.889 (multiplicity 4)
I9 0.484 0.195 0.410 (multiplicity 4)